Computed, not measured: a relaxed structure of BaLi2 at the PBE level of DFT.

a = 12.606 Å, b = 4.206 Å, c = 8.174 Å
α = 90.00°, β = 94.51°, γ = 90.00°
Space group Cm (No. 8)
Symmetry-distinct sites (fractional):
Ba 0.000 0.000 0.000 [2 per cell]
Ba 0.246 0.000 0.690 [2 per cell]
Li 0.106 0.500 0.364 [2 per cell]
Li 0.232 0.500 0.074 [2 per cell]
Li 0.317 0.000 0.274 [2 per cell]
Li 0.451 0.500 0.480 [2 per cell]

Summary:
Formation enthalpy at 0 K (eV per atom): 0.10